Material: Cs2RbLi2
Method: DFT, PBEsol
State: relaxed

a = 6.106 Å, b = 10.300 Å, c = 10.300 Å
α = 90.00°, β = 90.00°, γ = 90.00°
Atoms (fractional coordinates):
Li1 0.000 0.607 0.107
Li2 0.000 0.893 0.607
Li3 0.000 0.107 0.393
Li4 0.000 0.393 0.893
Cs1 0.500 0.674 0.826
Cs2 0.500 0.326 0.174
Cs3 0.500 0.174 0.674
Cs4 0.500 0.826 0.326
Rb1 0.000 0.500 0.500
Rb2 0.000 0.000 0.000

formation enthalpy at 0 K	0.14	eV/atom
magnetic moment	0.00	μB/atom
symmetry	P4/mbm, No. 127
uncorrected energy	-1.22	eV per atom